CeLu2Pb | the Alexandria database | PBE-GGA | relaxed; space-group type = No. 123; offset from the most stable computed form = 68 meV/atom; ΔH_f (0 K) = -0.151 eV per atom; D(E_F) = 1.711 states/eV/atom
1.0
3.5677 0.0000 0.0000
0.0000 3.5677 0.0000
0.0000 0.0000 8.9883
Pb Lu Ce
1 2 1
Direct
0.5000 0.5000 0.0000
0.0000 0.0000 0.7628
0.0000 0.0000 0.2372
0.5000 0.5000 0.5000

---

HfZrInMo | the Alexandria database | PBE-GGA | relaxed; space-group type = No. 216; ΔH_f (0 K) = -0.098 eV per atom; D(E_F) = 0.905 states/eV/atom
1.0
-4.4323 -0.3197 -1.9468
-0.6398 -2.3333 -4.2052
-2.3122 -4.2644 -0.0807
Mo Hf Zr In
1 1 1 1
Direct
0.0000 0.0000 0.0000
0.7500 0.7500 0.7500
0.2500 0.2500 0.2500
0.5000 0.5000 0.5000

---

PmDy6Y3 | the Alexandria database | PBE-GGA | relaxed; space-group type = No. 36; offset from the most stable computed form = 0 meV/atom; ΔH_f (0 K) = 0.142 eV per atom; D(E_F) = 1.431 states/eV/atom
1.0
6.1703 0.0000 0.0000
0.0000 10.8963 -1.5953
0.0000 -3.9865 10.2656
Pm Dy Y
2 12 6
Direct
0.1454 0.2071 0.7929
0.6454 0.7929 0.2071
0.0296 0.7116 0.6177
0.5296 0.6177 0.7116
0.3670 0.5387 0.9608
0.8670 0.9608 0.5387
0.4229 0.9530 0.0470
0.6372 0.2829 0.7171
0.1372 0.7171 0.2829
0.9229 0.0470 0.9530
0.3670 0.0392 0.4613
0.8670 0.4613 0.0392
0.0296 0.3823 0.2884
0.5296 0.2884 0.3823
0.4593 0.9373 0.7196
0.9593 0.7196 0.9373
0.0681 0.3901 0.6099
0.5681 0.6099 0.3901
0.9593 0.0627 0.2804
0.4593 0.2804 0.0627

---

Zr2RuPt | the Alexandria database | PBE-GGA | relaxed; space-group type = No. 160; ΔH_f (0 K) = -0.050 eV per atom; D(E_F) = 1.222 states/eV/atom
1.0
-4.8773 -1.9819 7.3882
-2.3187 -3.7579 7.9248
-2.3226 -0.7046 8.7413
Pt Ru Zr
1 1 2
Direct
0.4980 0.4980 0.4980
0.7481 0.7481 0.7481
0.0100 0.0100 0.0100
0.2439 0.2439 0.2439